DFT (PBE-GGA) results for a geometry-optimized AuCl2F8 structure.

Output
symmetry	No. 12
E	-29.136	eV per cell

Structure (POSCAR):
```
AuCl2F8
1.0
5.524 -3.220 0.000
5.524 3.220 0.000
-1.293 0.000 6.021
Au Cl F
1 2 8
direct
0.000 0.000 0.000
0.260 0.260 0.483
0.740 0.740 0.517
0.101 0.682 0.833
0.143 0.143 0.632
0.318 0.899 0.167
0.371 0.371 0.326
0.629 0.629 0.674
0.682 0.101 0.833
0.857 0.857 0.368
0.899 0.318 0.167
```

DFT (PBE-GGA) results for a geometry-optimized AuCl4F2 structure.

Output
symmetry	No. 12
E	-15.450	eV per cell

Structure (POSCAR):
```
AuCl4F2
1.0
7.936 -1.785 0.000
7.936 1.785 0.000
-2.597 0.000 6.534
Au Cl F
1 4 2
direct
0.000 0.000 0.000
0.106 0.106 0.321
0.386 0.386 0.142
0.614 0.614 0.858
0.894 0.894 0.679
0.297 0.297 0.220
0.703 0.703 0.780
```

DFT (PBE-GGA) results for a geometry-optimized AuClF structure.

Output
symmetry	No. 2
energy above the most stable polymorph in this dataset	0.021	eV per atom
E	-17.304	eV per cell

Structure (POSCAR):
```
AuClF
1.0
5.121 0.000 0.000
-0.019 5.573 0.000
-2.528 -2.787 5.236
Au Cl F
2 2 2
direct
0.134 0.383 0.266
0.866 0.617 0.734
0.355 0.606 0.713
0.645 0.394 0.287
0.056 0.809 0.118
0.944 0.191 0.882
```

DFT (PBE-GGA) results for a geometry-optimized GeAuClF6 structure.

Output
symmetry	No. 1
E	-35.394	eV per cell

Structure (POSCAR):
```
GeAuClF6
1.0
5.159 0.000 0.000
-0.698 5.437 0.000
-0.329 -1.521 6.236
Ge Au Cl F
1 1 1 6
direct
0.000 0.000 0.000
0.825 0.757 0.437
0.547 0.522 0.592
0.087 0.976 0.287
0.121 0.727 0.888
0.210 0.277 0.040
0.674 0.983 0.047
0.757 0.507 0.170
0.907 0.039 0.710
```

no.,uncorrected formation energy (eV/atom)
1,-0.65
2,-0.15
3,-0.55
4,-1.60